DFT (PBE) results for crystalline CeEr2Pa2Tc2 at its relaxed geometry.

a b c (Å): 3.398 4.368 23.001
angles (deg): 90.00 90.00 90.00
Space group Immm (No. 71)
Inequivalent atoms, fractional coordinates:
Ce: 0.000 0.000 0.000 (multiplicity 2)
Er: 0.000 0.000 0.286 (multiplicity 4)
Pa: 0.000 0.000 0.426 (multiplicity 4)
Tc: 0.000 0.500 0.369 (multiplicity 4)

DOS(E_F) in states/eV per cell: 18.9
V in Å³/cell: 341.4
Total DFT energy (no corrections) in eV/cell: -106.7
Crystal system: orthorhombic